Compound: ZnCo2Ru
Source: Alexandria via LeMat-Bulk
Functional: GGA-PBE
Structure: relaxed

abc: 2.747 4.358 8.527
angles: 90.00 90.00 90.00
Space group Cmm2 (No. 35)
Unique sites:
Zn1 0.000 0.000 0.000 (multiplicity 2)
Co1 0.000 0.000 0.520 (multiplicity 2)
Co2 0.000 0.500 0.750 (multiplicity 2)
Ru1 0.000 0.500 0.267 (multiplicity 2)

Results
Total DFT energy (no corrections)   -47.9 eV per cell
Total magnetic moment   0.9675 μB/atom
ΔE_f   0.2053 eV per atom

***

Compound: TmTaO4
Source: Alexandria via LeMat-Bulk
Functional: GGA-PBE
Structure: relaxed

abc: 7.561 5.288 7.561
angles: 90.00 98.23 90.00
Space group P2_1/c (No. 14)
Unique sites:
Tm1 0.148 0.222 0.383 (multiplicity 4)
Ta1 0.335 0.731 0.183 (multiplicity 4)
O1 0.107 0.520 0.174 (multiplicity 4)
O2 0.180 0.014 0.115 (multiplicity 4)
O3 0.328 0.621 0.935 (multiplicity 4)
O4 0.432 0.099 0.809 (multiplicity 4)

Results
Raw formation energy   -3.2709 eV per atom
Total DFT energy (no corrections)   -223.1 eV per cell
Total magnetic moment   0.0000 μB/atom

***

Compound: AcOs4
Source: Alexandria via LeMat-Bulk
Functional: GGA-PBE
Structure: relaxed

abc: 4.904 4.904 4.904
angles: 90.00 90.00 90.00
Space group Pm-3m (No. 221)
Unique sites:
Ac1 0.000 0.000 0.000 (multiplicity 1)
Os1 0.000 0.000 0.500 (multiplicity 3)
Os2 0.500 0.500 0.500 (multiplicity 1)

Results
Total DFT energy (no corrections)   -29.6 eV per cell
Total magnetic moment   0.7392 μB/atom
ΔE_f   3.8894 eV per atom

***

| no. | D(E_F) (states/eV per atom) |
| --- | --- |
| 1 | 1.170 |
| 2 | 0.000 |
| 3 | 1.921 |